# 1
Density functional theory data (PBE-GGA) for a relaxed Zr4NiP crystal.

Cell and atoms, written as CIF:
```
data_Zr4NiP
_chemical_formula_sum 'Zr16 Ni4 P4'
_cell_length_a 7.878
_cell_length_b 7.878
_cell_length_c 7.878
_cell_angle_alpha 90.00
_cell_angle_beta 90.00
_cell_angle_gamma 90.00
_symmetry_space_group_name_H-M 'F -4 3 m'
_symmetry_Int_Tables_number 216
_symmetry_space_group_name_Hall 'F -4 2 3'
loop_
_atom_site_label
_atom_site_type_symbol
_atom_site_fract_x
_atom_site_fract_y
_atom_site_fract_z
_atom_site_occupancy
Zr1 Zr 0.125 0.125 0.125 1
Ni1 Ni 0.250 0.250 0.750 1
P1 P 0.000 0.000 0.500 1
```


# 2
Density functional theory data (PBE-GGA) for a relaxed Ba2CaRu crystal.

Cell and atoms, written as CIF:
```
data_Ba2CaRu
_chemical_formula_sum 'Ba8 Ca4 Ru4'
_cell_length_a 8.096
_cell_length_b 8.096
_cell_length_c 8.096
_cell_angle_alpha 90.00
_cell_angle_beta 90.00
_cell_angle_gamma 90.00
_symmetry_space_group_name_H-M 'F m -3 m'
_symmetry_Int_Tables_number 225
_symmetry_space_group_name_Hall '-F 4 2 3'
loop_
_atom_site_label
_atom_site_type_symbol
_atom_site_fract_x
_atom_site_fract_y
_atom_site_fract_z
_atom_site_occupancy
Ba1 Ba 0.250 0.250 0.250 1
Ca1 Ca 0.000 0.000 0.000 1
Ru1 Ru 0.000 0.000 0.500 1
```


# 3
Density functional theory data (PBE-GGA) for a relaxed Mg5Cd6In2 crystal.

Cell and atoms, written as CIF:
```
data_Mg5Cd6In2
_chemical_formula_sum 'Mg10 Cd12 In4'
_cell_length_a 10.097
_cell_length_b 17.912
_cell_length_c 3.316
_cell_angle_alpha 90.00
_cell_angle_beta 90.00
_cell_angle_gamma 90.00
_symmetry_space_group_name_H-M 'P b a m'
_symmetry_Int_Tables_number 55
loop_
_symmetry_equiv_pos_as_xyz
'x,y,z'
'-x,-y,-z'
'-x,-y,z'
'x,y,-z'
'x+1/2,-y+1/2,-z'
'-x+1/2,y+1/2,z'
'-x+1/2,y+1/2,-z'
'x+1/2,-y+1/2,z'
loop_
_atom_site_label
_atom_site_type_symbol
_atom_site_fract_x
_atom_site_fract_y
_atom_site_fract_z
_atom_site_occupancy
Mg1 Mg 0.000 0.000 0.000 1
Mg2 Mg 0.067 0.277 0.000 1
Mg3 Mg 0.204 0.556 0.000 1
Cd1 Cd 0.053 0.423 0.500 1
Cd2 Cd 0.062 0.131 0.500 1
Cd3 Cd 0.202 0.882 0.000 1
In1 In 0.185 0.723 0.500 1
```


# 4
Density functional theory data (PBE-GGA) for a relaxed Ca2ErZrBi4 crystal.

Cell and atoms, written as CIF:
```
data_Ca2ErZrBi4
_chemical_formula_sum 'Ca2 Er1 Zr1 Bi4'
_cell_length_a 7.639
_cell_length_b 4.373
_cell_length_c 7.985
_cell_angle_alpha 90.00
_cell_angle_beta 108.23
_cell_angle_gamma 90.00
_symmetry_space_group_name_H-M 'P 1 2/m 1'
_symmetry_Int_Tables_number 10
loop_
_symmetry_equiv_pos_as_xyz
'x,y,z'
'-x,-y,-z'
'-x,y,-z'
'x,-y,z'
loop_
_atom_site_label
_atom_site_type_symbol
_atom_site_fract_x
_atom_site_fract_y
_atom_site_fract_z
_atom_site_occupancy
Ca1 Ca 0.000 0.000 0.000 1
Ca2 Ca 0.500 0.500 0.000 1
Er1 Er 0.000 0.500 0.500 1
Zr1 Zr 0.500 0.000 0.500 1
Bi1 Bi 0.254 0.000 0.735 1
Bi2 Bi 0.265 0.500 0.270 1
```


# 5
Density functional theory data (PBE-GGA) for a relaxed Pt2W crystal.

Cell and atoms, written as CIF:
```
data_Pt2W
_chemical_formula_sum 'Pt4 W2'
_cell_length_a 4.4935
_cell_length_b 4.4935
_cell_length_c 5.4904
_cell_angle_alpha 90.00
_cell_angle_beta 90.00
_cell_angle_gamma 120.00
_symmetry_space_group_name_H-M 'P 63/m m c'
_symmetry_Int_Tables_number 194
_symmetry_space_group_name_Hall '-P 6c 2c'
loop_
_atom_site_label
_atom_site_type_symbol
_atom_site_fract_x
_atom_site_fract_y
_atom_site_fract_z
_atom_site_occupancy
Pt1 Pt 0.0000 0.0000 0.0000 1
Pt2 Pt 0.3333 0.6667 0.2500 1
W1 W 0.3333 0.6667 0.7500 1
```


# 6
Density functional theory data (PBE-GGA) for a relaxed La2ReIr crystal.

Cell and atoms, written as CIF:
```
data_La2ReIr
_chemical_formula_sum 'La2 Re1 Ir1'
_cell_length_a 3.437
_cell_length_b 3.805
_cell_length_c 7.069
_cell_angle_alpha 90.00
_cell_angle_beta 90.00
_cell_angle_gamma 90.00
_symmetry_space_group_name_H-M 'P m m m'
_symmetry_Int_Tables_number 47
loop_
_symmetry_equiv_pos_as_xyz
'x,y,z'
'-x,-y,-z'
'-x,-y,z'
'x,y,-z'
'x,-y,-z'
'-x,y,z'
'-x,y,-z'
'x,-y,z'
loop_
_atom_site_label
_atom_site_type_symbol
_atom_site_fract_x
_atom_site_fract_y
_atom_site_fract_z
_atom_site_occupancy
La1 La 0.000 0.000 0.245 1
Re1 Re 0.500 0.500 0.500 1
Ir1 Ir 0.500 0.500 0.000 1
```


| no. | energy of formation from the pure elements (eV/atom) |
| --- | --- |
| 1 | 0.5442 |
| 2 | 0.5453 |
| 3 | -0.0375 |
| 4 | -0.6413 |
| 5 | -0.0311 |
| 6 | 0.1297 |